The following is a DFT calculation (PBE-GGA) of crystalline CsVSb2W at its relaxed geometry.

CIF file:
```
data_CsVSb2W
_chemical_formula_sum 'Cs1 V1 Sb2 W1'
_space_group_name_H-M_alt 'P 4/m m m'
_space_group_IT_number 123
_space_group_name_Hall '-P 4 2'
_cell_length_a 5.236
_cell_length_b 5.236
_cell_length_c 5.769
_cell_angle_alpha 90.00
_cell_angle_beta 90.00
_cell_angle_gamma 90.00
loop_
_atom_site_label
_atom_site_type_symbol
_atom_site_fract_x
_atom_site_fract_y
_atom_site_fract_z
_atom_site_occupancy
Cs1 Cs 0.000 0.000 0.000 1
V1 V 0.000 0.000 0.500 1
Sb1 Sb 0.000 0.500 0.500 1
W1 W 0.500 0.500 0.000 1
```

Computed properties:
- Final energy: -4.733 eV per atom

The following is a DFT calculation (PBE-GGA) of crystalline CsSb3W at its relaxed geometry.

CIF file:
```
data_CsSb3W
_chemical_formula_sum 'Cs1 Sb3 W1'
_space_group_name_H-M_alt 'P m -3 m'
_space_group_IT_number 221
_space_group_name_Hall '-P 4 2 3'
_cell_length_a 5.818
_cell_length_b 5.818
_cell_length_c 5.818
_cell_angle_alpha 90.00
_cell_angle_beta 90.00
_cell_angle_gamma 90.00
loop_
_atom_site_label
_atom_site_type_symbol
_atom_site_fract_x
_atom_site_fract_y
_atom_site_fract_z
_atom_site_occupancy
Cs1 Cs 0.000 0.000 0.000 1
Sb1 Sb 0.000 0.000 0.500 1
W1 W 0.500 0.500 0.500 1
```

Computed properties:
- ΔE to the lowest computed polymorph: 2649 meV/atom

The following is a DFT calculation (PBE-GGA) of crystalline CsSbW3 at its relaxed geometry.

CIF file:
```
data_CsSbW3
_chemical_formula_sum 'Cs1 Sb1 W3'
_space_group_name_H-M_alt 'P m -3 m'
_space_group_IT_number 221
_space_group_name_Hall '-P 4 2 3'
_cell_length_a 4.988
_cell_length_b 4.988
_cell_length_c 4.988
_cell_angle_alpha 90.00
_cell_angle_beta 90.00
_cell_angle_gamma 90.00
loop_
_atom_site_label
_atom_site_type_symbol
_atom_site_fract_x
_atom_site_fract_y
_atom_site_fract_z
_atom_site_occupancy
Cs1 Cs 0.000 0.000 0.000 1
Sb1 Sb 0.500 0.500 0.500 1
W1 W 0.000 0.000 0.500 1
```

Computed properties:
- ΔE to the lowest computed polymorph: 1039 meV/atom

The following is a DFT calculation (PBE-GGA) of crystalline Cs3SbW at its relaxed geometry.

CIF file:
```
data_Cs3SbW
_chemical_formula_sum 'Cs3 Sb1 W1'
_space_group_name_H-M_alt 'P m -3 m'
_space_group_IT_number 221
_space_group_name_Hall '-P 4 2 3'
_cell_length_a 7.265
_cell_length_b 7.265
_cell_length_c 7.265
_cell_angle_alpha 90.00
_cell_angle_beta 90.00
_cell_angle_gamma 90.00
loop_
_atom_site_label
_atom_site_type_symbol
_atom_site_fract_x
_atom_site_fract_y
_atom_site_fract_z
_atom_site_occupancy
Cs1 Cs 0.000 0.000 0.500 1
Sb1 Sb 0.000 0.000 0.000 1
W1 W 0.500 0.500 0.500 1
```

Computed properties:
- ΔE to the lowest computed polymorph: 0 meV/atom

The following is a DFT calculation (PBE-GGA) of crystalline CsSb3W at its relaxed geometry.

CIF file:
```
data_CsSb3W
_chemical_formula_sum 'Cs1 Sb3 W1'
_space_group_name_H-M_alt 'P m -3 m'
_space_group_IT_number 221
_space_group_name_Hall '-P 4 2 3'
_cell_length_a 5.419
_cell_length_b 5.419
_cell_length_c 5.419
_cell_angle_alpha 90.00
_cell_angle_beta 90.00
_cell_angle_gamma 90.00
loop_
_atom_site_label
_atom_site_type_symbol
_atom_site_fract_x
_atom_site_fract_y
_atom_site_fract_z
_atom_site_occupancy
Cs1 Cs 0.000 0.000 0.000 1
Sb1 Sb 0.000 0.500 0.500 1
W1 W 0.500 0.500 0.500 1
```

Computed properties:
- ΔE to the lowest computed polymorph: 0 meV/atom

The following is a DFT calculation (PBE-GGA) of crystalline CsSbW3 at its relaxed geometry.

CIF file:
```
data_CsSbW3
_chemical_formula_sum 'Cs1 Sb1 W3'
_space_group_name_H-M_alt 'P m -3 m'
_space_group_IT_number 221
_space_group_name_Hall '-P 4 2 3'
_cell_length_a 5.134
_cell_length_b 5.134
_cell_length_c 5.134
_cell_angle_alpha 90.00
_cell_angle_beta 90.00
_cell_angle_gamma 90.00
loop_
_atom_site_label
_atom_site_type_symbol
_atom_site_fract_x
_atom_site_fract_y
_atom_site_fract_z
_atom_site_occupancy
Cs1 Cs 0.000 0.000 0.000 1
Sb1 Sb 0.500 0.500 0.500 1
W1 W 0.000 0.500 0.500 1
```

Computed properties:
- ΔE to the lowest computed polymorph: 0 meV/atom

The following is a DFT calculation (PBE-GGA) of crystalline Cs2YSb at its relaxed geometry.

CIF file:
```
data_Cs2YSb
_chemical_formula_sum 'Cs8 Y4 Sb4'
_space_group_name_H-M_alt 'I -4 2 d'
_space_group_IT_number 122
_space_group_name_Hall 'I -4 2bw'
_cell_length_a 14.390
_cell_length_b 14.390
_cell_length_c 5.883
_cell_angle_alpha 90.00
_cell_angle_beta 90.00
_cell_angle_gamma 90.00
loop_
_atom_site_label
_atom_site_type_symbol
_atom_site_fract_x
_atom_site_fract_y
_atom_site_fract_z
_atom_site_occupancy
Cs1 Cs 0.091 0.250 0.125 1
Y1 Y 0.000 0.000 0.500 1
Sb1 Sb 0.000 0.000 0.000 1
```

Computed properties:
- Final energy: -3.128 eV per atom

The following is a DFT calculation (PBE-GGA) of crystalline CsY2Sb2 at its relaxed geometry.

CIF file:
```
data_CsY2Sb2
_chemical_formula_sum 'Cs2 Y4 Sb4'
_space_group_name_H-M_alt 'I 4/m m m'
_space_group_IT_number 139
_space_group_name_Hall '-I 4 2'
_cell_length_a 5.865
_cell_length_b 5.865
_cell_length_c 12.071
_cell_angle_alpha 90.00
_cell_angle_beta 90.00
_cell_angle_gamma 90.00
loop_
_atom_site_label
_atom_site_type_symbol
_atom_site_fract_x
_atom_site_fract_y
_atom_site_fract_z
_atom_site_occupancy
Cs1 Cs 0.000 0.000 0.000 1
Y1 Y 0.000 0.000 0.319 1
Sb1 Sb 0.000 0.500 0.250 1
```

Computed properties:
- ΔE to the lowest computed polymorph: 0 meV/atom

The following is a DFT calculation (PBE-GGA) of crystalline CsYSb3 at its relaxed geometry.

CIF file:
```
data_CsYSb3
_chemical_formula_sum 'Cs1 Y1 Sb3'
_space_group_name_H-M_alt 'P m -3 m'
_space_group_IT_number 221
_space_group_name_Hall '-P 4 2 3'
_cell_length_a 5.910
_cell_length_b 5.910
_cell_length_c 5.910
_cell_angle_alpha 90.00
_cell_angle_beta 90.00
_cell_angle_gamma 90.00
loop_
_atom_site_label
_atom_site_type_symbol
_atom_site_fract_x
_atom_site_fract_y
_atom_site_fract_z
_atom_site_occupancy
Cs1 Cs 0.000 0.000 0.000 1
Y1 Y 0.500 0.500 0.500 1
Sb1 Sb 0.000 0.500 0.500 1
```

Computed properties:
- ΔE to the lowest computed polymorph: 0 meV/atom

The following is a DFT calculation (PBE-GGA) of crystalline Cs2Y2Sb at its relaxed geometry.

CIF file:
```
data_Cs2Y2Sb
_chemical_formula_sum 'Cs4 Y4 Sb2'
_space_group_name_H-M_alt 'I 4/m m m'
_space_group_IT_number 139
_space_group_name_Hall '-I 4 2'
_cell_length_a 4.551
_cell_length_b 4.551
_cell_length_c 20.309
_cell_angle_alpha 90.00
_cell_angle_beta 90.00
_cell_angle_gamma 90.00
loop_
_atom_site_label
_atom_site_type_symbol
_atom_site_fract_x
_atom_site_fract_y
_atom_site_fract_z
_atom_site_occupancy
Cs1 Cs 0.000 0.500 0.250 1
Y1 Y 0.000 0.000 0.073 1
Sb1 Sb 0.000 0.000 0.500 1
```

Computed properties:
- Final energy: -3.233 eV per atom

The following is a DFT calculation (PBE-GGA) of crystalline CsY2Sb2 at its relaxed geometry.

CIF file:
```
data_CsY2Sb2
_chemical_formula_sum 'Cs2 Y4 Sb4'
_space_group_name_H-M_alt 'P 4/m b m'
_space_group_IT_number 127
_space_group_name_Hall '-P 4 2ab'
_cell_length_a 9.295
_cell_length_b 9.295
_cell_length_c 3.791
_cell_angle_alpha 90.00
_cell_angle_beta 90.00
_cell_angle_gamma 90.00
loop_
_atom_site_label
_atom_site_type_symbol
_atom_site_fract_x
_atom_site_fract_y
_atom_site_fract_z
_atom_site_occupancy
Cs1 Cs 0.000 0.000 0.000 1
Y1 Y 0.138 0.362 0.500 1
Sb1 Sb 0.147 0.647 0.000 1
```

Computed properties:
- ΔE to the lowest computed polymorph: 31 meV/atom

The following is a DFT calculation (PBE-GGA) of crystalline CsYSb3 at its relaxed geometry.

CIF file:
```
data_CsYSb3
_chemical_formula_sum 'Cs1 Y1 Sb3'
_space_group_name_H-M_alt 'P m -3 m'
_space_group_IT_number 221
_space_group_name_Hall '-P 4 2 3'
_cell_length_a 5.914
_cell_length_b 5.914
_cell_length_c 5.914
_cell_angle_alpha 90.00
_cell_angle_beta 90.00
_cell_angle_gamma 90.00
loop_
_atom_site_label
_atom_site_type_symbol
_atom_site_fract_x
_atom_site_fract_y
_atom_site_fract_z
_atom_site_occupancy
Cs1 Cs 0.000 0.000 0.000 1
Y1 Y 0.500 0.500 0.500 1
Sb1 Sb 0.000 0.000 0.500 1
```

Computed properties:
- ΔE to the lowest computed polymorph: 1356 meV/atom